1.
Compound: Y2ZrAg
Source: the Alexandria database
Functional: PBE
Structure: optimized geometry

**Energy of formation from the pure elements**: 0.139 eV/atom
**Fermi-level density of states**: 5.72 states/eV/cell
**Symmetry**: P2/m (10)
**Uncorrected energy**: -23.8 eV per cell
**Offset from the most stable computed form**: 253 meV per atom

Cell lengths 3.354, 5.859, 6.669 Å; angles 51.37, 90.00, 90.00 degrees
Atoms (fractional coordinates):
Zr 0.500 0.500 0.500
Ag 0.000 0.000 0.500
Y 0.000 0.000 0.000
Y 0.500 0.500 0.000

=====

2.
Compound: Pr2BrCl
Source: the Alexandria database
Functional: PBE
Structure: optimized geometry

**Fermi-level density of states**: 1.26 states/eV/cell
**Formation energy (no corrections)**: -493 kJ/mol of formula units
**Symmetry**: R3m (160)
**Uncorrected energy**: -18.2 eV per cell

Cell lengths 3.684, 3.684, 9.431 Å; angles 78.74, 78.74, 60.00 degrees
Atoms (fractional coordinates):
Br 0.667 0.667 0.999
Pr 0.246 0.246 0.261
Cl 0.500 0.500 0.500
Pr 0.087 0.087 0.740

=====

3.
Compound: Ce2Pm3PrTm6
Source: the Alexandria database
Functional: PBE
Structure: optimized geometry

**Energy of formation from the pure elements**: 0.048 eV/atom
**Fermi-level density of states**: 19.69 states/eV/cell
**Symmetry**: C2/m (12)
**Uncorrected energy**: -57.2 eV per cell

Cell lengths 6.163, 6.163, 11.655 Å; angles 95.06, 95.06, 119.99 degrees
Atoms (fractional coordinates):
Pm 0.834 0.166 0.500
Pm 0.166 0.834 0.500
Tm 0.917 0.581 0.752
Tm 0.747 0.747 0.248
Pm 0.500 0.500 0.500
Pr 0.000 0.000 0.000
Tm 0.581 0.917 0.752
Ce 0.333 0.667 0.000
Tm 0.083 0.419 0.248
Ce 0.667 0.333 0.000
Tm 0.419 0.083 0.248
Tm 0.253 0.253 0.752

=====

4.
Compound: Y2MnGePt6
Source: the Alexandria database
Functional: PBE
Structure: optimized geometry

**Energy of formation from the pure elements**: -0.728 eV/atom
**Fermi-level density of states**: 3.14 states/eV/cell
**Symmetry**: R-3m (166)
**Uncorrected energy**: -70.2 eV per cell

Cell lengths 5.575, 8.383, 8.383 Å; angles 38.85, 70.58, 90.00 degrees
Atoms (fractional coordinates):
Pt 0.751 0.250 0.003
Mn 0.000 0.000 0.000
Pt 0.247 0.250 0.003
Pt 0.750 0.753 0.499
Ge 0.500 0.500 0.000
Pt 0.753 0.750 0.997
Pt 0.249 0.750 0.997
Y 0.299 0.701 0.403
Pt 0.250 0.247 0.501
Y 0.701 0.299 0.597

=====

5.
Compound: TcAgHg2
Source: the Alexandria database
Functional: PBE
Structure: optimized geometry

**Energy of formation from the pure elements**: 0.432 eV/atom
**Fermi-level density of states**: 2.37 states/eV/cell
**Symmetry**: R-3m (166)
**Uncorrected energy**: -12.1 eV per cell
**Offset from the most stable computed form**: 0 meV per atom

Cell lengths 9.775, 9.775, 9.775 Å; angles 17.58, 17.58, 17.58 degrees
Atoms (fractional coordinates):
Ag 0.750 0.750 0.750
Hg 0.998 0.998 0.998
Tc 0.250 0.250 0.250
Hg 0.502 0.502 0.502

=====

6.
Compound: Sm3CuC
Source: the Alexandria database
Functional: PBE
Structure: optimized geometry

**Energy of formation from the pure elements**: 0.045 eV/atom
**Fermi-level density of states**: 5.67 states/eV/cell
**Symmetry**: Pm-3m (221)
**Uncorrected energy**: -27.3 eV per cell

Cell lengths 4.977, 4.977, 4.977 Å; angles 90.00, 90.00, 90.00 degrees
Atoms (fractional coordinates):
Sm 0.000 0.000 0.500
Sm 0.000 0.500 0.000
Cu 0.500 0.500 0.500
C 0.000 0.000 0.000
Sm 0.500 0.000 0.000

=====

7.
Compound: ScAu2Se
Source: the Alexandria database
Functional: PBE
Structure: optimized geometry

**Fermi-level density of states**: 1.21 states/eV/cell
**Formation energy (no corrections)**: -232 kJ/mol of formula units
**Symmetry**: R3m (160)
**Uncorrected energy**: -18.8 eV per cell

Cell lengths 6.584, 6.584, 6.584 Å; angles 35.74, 35.74, 35.74 degrees
Atoms (fractional coordinates):
Au 0.996 0.996 0.996
Au 0.249 0.249 0.249
Se 0.756 0.756 0.756
Sc 0.500 0.500 0.500

=====

8.
Compound: InRuBr2
Source: the Alexandria database
Functional: PBE
Structure: optimized geometry

**Fermi-level density of states**: 2.72 states/eV/cell
**Formation energy (no corrections)**: 74 kJ/mol of formula units
**Symmetry**: P4mm (99)
**Uncorrected energy**: -14.6 eV per cell
**Offset from the most stable computed form**: 277 meV per atom

Cell lengths 3.341, 3.341, 8.636 Å; angles 90.00, 90.00, 90.00 degrees
Atoms (fractional coordinates):
Br 0.500 0.500 0.317
Ru 0.500 0.500 0.733
In 0.000 0.000 0.539
Br 0.000 0.000 0.910

=====

9.
Compound: SnSbPb2Se5
Source: the Alexandria database
Functional: PBE
Structure: optimized geometry

**Fermi-level density of states**: 6.99 states/eV/cell
**Formation energy (no corrections)**: -315 kJ/mol of formula units
**Symmetry**: Cmc2_1 (36)
**Uncorrected energy**: -72.4 eV per cell

Cell lengths 4.229, 9.265, 13.719 Å; angles 90.00, 90.00, 103.19 degrees
Atoms (fractional coordinates):
Se 0.373 0.745 0.001
Se 0.694 0.389 0.888
Se 0.276 0.552 0.676
Pb 0.107 0.214 0.655
Sn 0.548 0.096 0.947
Se 0.945 0.889 0.575
Se 0.508 0.016 0.264
Sb 0.221 0.441 0.027
Se 0.724 0.448 0.176
Sb 0.779 0.559 0.527
Pb 0.893 0.786 0.155
Se 0.492 0.984 0.764
Se 0.627 0.255 0.501
Pb 0.869 0.739 0.791
Sn 0.452 0.904 0.447
Se 0.055 0.111 0.075
Se 0.306 0.611 0.388
Pb 0.131 0.261 0.291

=====

10.
Compound: Ho3ErAs4
Source: the Alexandria database
Functional: PBE
Structure: optimized geometry

**Energy of formation from the pure elements**: -1.531 eV/atom
**Fermi-level density of states**: 0.75 states/eV/cell
**Symmetry**: Pm-3m (221)
**Uncorrected energy**: -49.1 eV per cell
**Offset from the most stable computed form**: 0 meV per atom

Cell lengths 5.788, 5.788, 5.788 Å; angles 90.00, 90.00, 90.00 degrees
Atoms (fractional coordinates):
As 0.500 0.500 0.500
Ho 0.500 0.500 0.000
As 0.000 0.000 0.500
As 0.000 0.500 0.000
As 0.500 0.000 0.000
Ho 0.500 0.000 0.500
Er 0.000 0.000 0.000
Ho 0.000 0.500 0.500

=====

11.
Compound: SmYAu4
Source: the Alexandria database
Functional: PBE
Structure: optimized geometry

**Energy of formation from the pure elements**: -0.830 eV/atom
**Fermi-level density of states**: 2.49 states/eV/cell
**Symmetry**: P-1 (2)
**Uncorrected energy**: -29.3 eV per cell

Cell lengths 3.781, 5.305, 7.544 Å; angles 80.47, 75.54, 111.01 degrees
Atoms (fractional coordinates):
Sm 0.501 0.497 0.998
Y 0.001 0.997 0.498
Au 0.339 0.999 0.826
Au 0.832 0.493 0.335
Au 0.171 0.502 0.662
Au 0.663 0.996 0.171

=====

12.
Compound: SiTeRh2
Source: the Alexandria database
Functional: PBE
Structure: optimized geometry

**Fermi-level density of states**: 4.10 states/eV/cell
**Formation energy (no corrections)**: -71 kJ/mol of formula units
**Symmetry**: I-42d (122)
**Uncorrected energy**: -48.0 eV per cell
**Offset from the most stable computed form**: 231 meV per atom

Cell lengths 5.215, 5.215, 7.300 Å; angles 69.07, 69.07, 90.00 degrees
Atoms (fractional coordinates):
Te 0.750 0.250 0.500
Rh 0.375 0.427 0.750
Si 0.250 0.750 0.500
Te 0.000 0.000 0.000
Rh 0.573 0.125 0.250
Si 0.500 0.500 0.000
Rh 0.875 0.823 0.750
Rh 0.177 0.625 0.250

=====

13.
Compound: SmYRhAu
Source: the Alexandria database
Functional: PBE
Structure: optimized geometry

**Energy of formation from the pure elements**: -0.772 eV/atom
**Fermi-level density of states**: 4.29 states/eV/cell
**Symmetry**: F-43m (216)
**Uncorrected energy**: -24.9 eV per cell
**Offset from the most stable computed form**: 42 meV per atom

Cell lengths 5.035, 5.035, 5.035 Å; angles 60.00, 60.00, 60.00 degrees
Atoms (fractional coordinates):
Sm 0.250 0.250 0.250
Au 0.500 0.500 0.500
Y 0.750 0.750 0.750
Rh 0.000 0.000 0.000

=====

14.
Compound: NaGaHg2
Source: the Alexandria database
Functional: PBE
Structure: optimized geometry

**Energy of formation from the pure elements**: -0.135 eV/atom
**Fermi-level density of states**: 2.72 states/eV/cell
**Symmetry**: Cmcm (63)
**Uncorrected energy**: -11.0 eV per cell

Cell lengths 3.315, 4.895, 11.892 Å; angles 90.00, 98.01, 90.00 degrees
Atoms (fractional coordinates):
Hg 0.162 0.750 0.324
Ga 0.226 0.250 0.451
Hg 0.966 0.250 0.932
Na 0.596 0.250 0.192
Ga 0.774 0.750 0.549
Hg 0.034 0.750 0.068
Hg 0.838 0.250 0.676
Na 0.404 0.750 0.808

=====

15.
Compound: Fe3ReGe
Source: the Alexandria database
Functional: PBE
Structure: optimized geometry

**Energy of formation from the pure elements**: 1.529 eV/atom
**Fermi-level density of states**: 21.16 states/eV/cell
**Symmetry**: Pm-3m (221)
**Uncorrected energy**: -34.8 eV per cell
**Offset from the most stable computed form**: 55 meV per atom

Cell lengths 4.163, 4.163, 4.163 Å; angles 90.00, 90.00, 90.00 degrees
Atoms (fractional coordinates):
Ge 0.000 0.000 0.000
Fe 0.500 0.000 0.000
Re 0.500 0.500 0.500
Fe 0.000 0.000 0.500
Fe 0.000 0.500 0.000

=====

16.
Compound: ErThMgAg
Source: the Alexandria database
Functional: PBE
Structure: optimized geometry

**Energy of formation from the pure elements**: -0.012 eV/atom
**Fermi-level density of states**: 3.76 states/eV/cell
**Symmetry**: F-43m (216)
**Uncorrected energy**: -16.5 eV per cell

Cell lengths 5.297, 5.297, 5.297 Å; angles 60.00, 60.00, 60.00 degrees
Atoms (fractional coordinates):
Th 0.500 0.500 0.500
Ag 0.250 0.250 0.250
Er 0.000 0.000 0.000
Mg 0.750 0.750 0.750

=====

17.
Compound: GdTmBe2
Source: the Alexandria database
Functional: PBE
Structure: optimized geometry

**Energy of formation from the pure elements**: 0.097 eV/atom
**Fermi-level density of states**: 3.10 states/eV/cell
**Symmetry**: Fm-3m (225)
**Uncorrected energy**: -25.6 eV per cell
**Offset from the most stable computed form**: 3 meV per atom

Cell lengths 4.807, 4.807, 4.807 Å; angles 60.00, 60.00, 60.00 degrees
Atoms (fractional coordinates):
Be 0.250 0.250 0.250
Tm 0.000 0.000 0.000
Be 0.750 0.750 0.750
Gd 0.500 0.500 0.500

=====

18.
Compound: Tc2Mo2W3
Source: the Alexandria database
Functional: PBE
Structure: optimized geometry

**Energy of formation from the pure elements**: 0.075 eV/atom
**Fermi-level density of states**: 6.58 states/eV/cell
**Symmetry**: R-3m (166)
**Uncorrected energy**: -80.7 eV per cell

Cell lengths 4.450, 4.451, 6.896 Å; angles 71.19, 71.18, 60.01 degrees
Atoms (fractional coordinates):
Mo 0.214 0.714 0.857
W 0.500 0.000 0.000
Tc 0.928 0.427 0.718
Mo 0.786 0.286 0.143
Tc 0.072 0.573 0.282
W 0.644 0.143 0.570
W 0.356 0.857 0.430

=====

19.
Compound: Pu2GeOs
Source: the Alexandria database
Functional: PBE
Structure: optimized geometry

**Energy of formation from the pure elements**: 0.344 eV/atom
**Fermi-level density of states**: 8.24 states/eV/cell
**Symmetry**: R-3m (166)
**Uncorrected energy**: -43.1 eV per cell

Cell lengths 2.909, 2.909, 11.072 Å; angles 82.45, 82.45, 60.00 degrees
Atoms (fractional coordinates):
Ge 0.000 0.000 0.000
Pu 0.908 0.908 0.277
Os 0.500 0.500 0.500
Pu 0.092 0.092 0.723